1.
DFT (PBE) results for Al2FeTc after structural relaxation.

Lattice parameters (Å, degrees): 5.764 5.776 3.245 90.00 90.00 90.00
Sites, in units of the cell vectors:
Al  0.250  0.250  0.000
Al  0.250  0.750  0.000
Al  0.750  0.250  0.000
Al  0.750  0.750  0.000
Fe  0.000  0.000  0.500
Fe  0.500  0.500  0.500
Tc  0.000  0.500  0.500
Tc  0.500  0.000  0.500

Polymorph energy (0 for the lowest one) = 0.0 meV per atom
Space group = Cmmm
Raw total energy = -6.883 eV/atom

2.
DFT (PBE) results for FeCo2PdPt after structural relaxation.

Lattice parameters (Å, degrees): 4.525 4.525 4.958 90.00 90.00 90.00
Sites, in units of the cell vectors:
Fe  0.000  0.000  0.000
Co  0.000  0.500  0.500
Co  0.500  0.000  0.500
Pd  0.500  0.500  0.000
Pt  0.500  0.500  0.500

Space group = P4/mmm
Raw total energy = -5.357 eV/atom

3.
DFT (PBE) results for LiTaSi after structural relaxation.

Lattice parameters (Å, degrees): 2.855 2.855 7.001 90.00 90.00 120.00
Sites, in units of the cell vectors:
Li  0.000  0.000  0.000
Ta  0.333  0.667  0.626
Si  0.667  0.333  0.312

Space group = P3m1
E_form (uncorrected) = 0.06 eV/atom
Raw total energy = -6.340 eV/atom

4.
DFT (PBE) results for PrSm3Co8 after structural relaxation.

Lattice parameters (Å, degrees): 8.923 8.923 8.923 33.56 33.56 33.56
Sites, in units of the cell vectors:
Pr  0.000  0.000  0.000
Sm  0.125  0.125  0.125
Sm  0.500  0.500  0.500
Sm  0.625  0.625  0.625
Co  0.063  0.063  0.560
Co  0.063  0.560  0.063
Co  0.065  0.563  0.563
Co  0.312  0.312  0.312
Co  0.560  0.063  0.063
Co  0.563  0.065  0.563
Co  0.563  0.563  0.065
Co  0.813  0.813  0.813

Space group = R3m
Raw total energy = -6.380 eV/atom

5.
DFT (PBE) results for Rb2ZnSeBr6 after structural relaxation.

Lattice parameters (Å, degrees): 7.799 7.799 7.799 120.08 120.08 89.86
Sites, in units of the cell vectors:
Rb  0.250  0.750  0.500
Rb  0.750  0.250  0.500
Zn  0.000  0.000  0.000
Se  0.500  0.500  0.000
Br  0.231  0.231  0.463
Br  0.231  0.769  0.000
Br  0.267  0.267  0.000
Br  0.733  0.733  0.000
Br  0.769  0.231  0.000
Br  0.769  0.769  0.537

Space group = I4/mmm
E_form (uncorrected) = -0.88 eV/atom
Raw total energy = -2.549 eV/atom

6.
DFT (PBE) results for Ta2TiS4 after structural relaxation.

Lattice parameters (Å, degrees): 4.654 4.654 12.263 90.00 90.00 90.00
Sites, in units of the cell vectors:
Ta  0.000  0.000  0.110
Ta  0.000  0.000  0.890
Ta  0.500  0.500  0.390
Ta  0.500  0.500  0.610
Ti  0.000  0.000  0.500
Ti  0.500  0.500  0.000
S  0.000  0.000  0.302
S  0.000  0.000  0.698
S  0.000  0.500  0.000
S  0.000  0.500  0.500
S  0.500  0.000  0.000
S  0.500  0.000  0.500
S  0.500  0.500  0.198
S  0.500  0.500  0.802

Polymorph energy (0 for the lowest one) = 730.9 meV per atom
Space group = I4/mmm
E_form (uncorrected) = -0.12 eV/atom
Raw total energy = -6.994 eV/atom

7.
DFT (PBE) results for LuThGaRh after structural relaxation.

Lattice parameters (Å, degrees): 7.103 7.103 7.103 90.00 90.00 90.00
Sites, in units of the cell vectors:
Lu  0.000  0.000  0.000
Lu  0.000  0.500  0.500
Lu  0.500  0.000  0.500
Lu  0.500  0.500  0.000
Th  0.000  0.000  0.500
Th  0.000  0.500  0.000
Th  0.500  0.000  0.000
Th  0.500  0.500  0.500
Ga  0.250  0.250  0.250
Ga  0.250  0.750  0.750
Ga  0.750  0.250  0.750
Ga  0.750  0.750  0.250
Rh  0.250  0.250  0.750
Rh  0.250  0.750  0.250
Rh  0.750  0.250  0.250
Rh  0.750  0.750  0.750

Space group = F-43m
Raw total energy = -6.181 eV/atom

8.
DFT (PBE) results for Ta2SiHg after structural relaxation.

Lattice parameters (Å, degrees): 10.237 2.898 4.934 90.00 105.78 90.00
Sites, in units of the cell vectors:
Ta  0.000  0.000  0.000
Ta  0.229  0.000  0.652
Ta  0.500  0.500  0.000
Ta  0.729  0.500  0.652
Si  0.230  0.500  0.144
Si  0.730  0.000  0.144
Hg  0.473  0.000  0.483
Hg  0.973  0.500  0.483

Space group = Cm
E_form (uncorrected) = 0.22 eV/atom
Raw total energy = -7.136 eV/atom

9.
DFT (PBE) results for NiAg2Au2 after structural relaxation.

Lattice parameters (Å, degrees): 6.611 6.611 4.191 90.00 90.00 90.00
Sites, in units of the cell vectors:
Ni  0.000  0.000  0.000
Ni  0.500  0.500  0.000
Ag  0.163  0.337  0.500
Ag  0.337  0.837  0.500
Ag  0.663  0.163  0.500
Ag  0.837  0.663  0.500
Au  0.145  0.645  0.000
Au  0.355  0.145  0.000
Au  0.645  0.855  0.000
Au  0.855  0.355  0.000

Polymorph energy (0 for the lowest one) = 0.0 meV per atom
Space group = P4/mbm
Raw total energy = -3.373 eV/atom

10.
DFT (PBE) results for K3Zr after structural relaxation.

Lattice parameters (Å, degrees): 4.189 5.928 14.575 90.00 90.00 90.00
Sites, in units of the cell vectors:
K  0.000  0.000  0.000
K  0.000  0.500  0.284
K  0.000  0.500  0.716
K  0.500  0.000  0.284
K  0.500  0.000  0.716
K  0.500  0.500  0.000
Zr  0.000  0.000  0.500
Zr  0.500  0.500  0.500

Polymorph energy (0 for the lowest one) = 150.1 meV per atom
Space group = Cmmm
Raw total energy = -2.250 eV/atom

11.
DFT (PBE) results for AgBi2TeO6 after structural relaxation.

Lattice parameters (Å, degrees): 6.057 6.057 6.057 60.04 60.04 60.04
Sites, in units of the cell vectors:
Ag  0.000  0.000  0.000
Bi  0.246  0.246  0.246
Bi  0.761  0.761  0.761
Te  0.459  0.459  0.459
O  0.116  0.623  0.361
O  0.181  0.574  0.812
O  0.361  0.116  0.623
O  0.574  0.812  0.181
O  0.623  0.361  0.116
O  0.812  0.181  0.574

Space group = R3
E_form (uncorrected) = -0.89 eV/atom
Raw total energy = -5.240 eV/atom

12.
DFT (PBE) results for HgHPdAu after structural relaxation.

Lattice parameters (Å, degrees): 3.788 3.788 9.186 90.00 90.00 90.00
Sites, in units of the cell vectors:
Hg  0.250  0.250  0.250
Hg  0.750  0.750  0.750
H  0.250  0.750  0.000
H  0.750  0.250  0.000
Pd  0.250  0.250  0.947
Pd  0.750  0.750  0.053
Au  0.250  0.750  0.500
Au  0.750  0.250  0.500

Space group = P4/nmm
Raw total energy = -2.988 eV/atom